Entry from Alexandria: KFe2SbCl8 after structural relaxation (GGA-PBE).

Calculated values
final energy: -3.96 eV per atom
E_form (uncorrected): -0.8834 eV per atom
space group: C2/m

a b c (Å): 7.120 7.655 9.295
angles (deg): 58.17 67.48 62.29
Site moments in Bohr magnetons follow the coordinates.
Fractional positions:
1 K 0.500 0.500 0.500  0.00
2 Fe 0.300 0.236 0.164  3.61
3 Fe 0.700 0.764 0.836  3.61
4 Sb 0.000 0.000 0.000  0.41
5 Cl 0.865 0.613 0.657  0.19
6 Cl 0.672 0.545 0.112  0.17
7 Cl 0.135 0.387 0.343  0.19
8 Cl 0.328 0.455 0.888  0.17
9 Cl 0.633 0.980 0.237  0.10
10 Cl 0.367 0.020 0.763  0.10
11 Cl 0.149 0.980 0.237  0.10
12 Cl 0.851 0.020 0.763  0.10